Record 1
DFT (PBE) results for a relaxed structure of Hf5Tc4Os.

The space group is P4/mmm (No. 123) and the conventional cell measures 3.259, 3.259 and 16.311 Å, with angles of 90.00, 90.00 and 90.00 degrees. Symmetry generates all atoms from Hf at (0.000, 0.000, 0.000), Hf at (0.000, 0.000, 0.200), Hf at (0.000, 0.000, 0.400), Tc at (0.500, 0.500, 0.100), Tc at (0.500, 0.500, 0.300) and Os at (0.500, 0.500, 0.500).

The total DFT energy (no corrections) comes out at -107.73 eV per cell. The volume comes out at 17.323 A^3/atom. As for the magnetization: 0.0 μB/cell. The crystal system is tetragonal. The calculated formation energy is -12.2 kcal/mol of atoms.



Record 2
DFT (PBE) results for a relaxed structure of Ba2Mg4InSi3.

The space group is P-4m2 (No. 115) and the conventional cell measures 4.685, 4.685 and 11.649 Å, with angles of 90.00, 90.00 and 90.00 degrees. Symmetry generates all atoms from Ba at (0.000, 0.500, 0.244), Mg at (0.000, 0.000, 0.000), Mg at (0.000, 0.500, 0.640), Mg at (0.500, 0.500, 0.000), In at (0.000, 0.000, 0.500), Si at (0.000, 0.500, 0.870) and Si at (0.500, 0.500, 0.500).

The total DFT energy (no corrections) comes out at -32.09 eV per cell. The volume comes out at 25.570 A^3/atom. As for the magnetization: 0.0 μB/cell. For the uncorrected formation energy, the calculation gives -0.29 eV per atom. The crystal system is tetragonal.